Here is NbTlPO2 after structural relaxation from the Alexandria database. Energies are from GGA-PBE.

* relative energy among the computed polymorphs: 9.28 eV/f.u.
* space-group type: P4/mmm (123)
* size of the total moment: 1.29 μB per cell
* energy: -4.997 eV per atom

Cell: 4.000 4.000 5.711 Å, 90.00 90.00 90.00°
Sites, in units of the cell vectors:
Nb (0.000, 0.000, 0.000)
Tl (0.500, 0.500, 0.500)
P (0.500, 0.500, 0.000)
O (0.000, 0.500, 0.500)
O (0.500, 0.000, 0.500)